# 1
The following is a PBE calculation of a relaxed CeNdWN4 crystal, from the Alexandria database.

The uncorrected formation energy comes out at -1.1165 eV per atom.

Structure (POSCAR):
```
CeNdWN4
1.0
2.795 -6.237 0.000
2.795 6.237 0.000
0.000 0.000 5.606
Ce Nd W N
2 2 2 8
direct
0.102 0.898 0.750 Ce
0.898 0.102 0.250 Ce
0.393 0.607 0.750 Nd
0.607 0.393 0.250 Nd
0.260 0.740 0.250 W
0.740 0.260 0.750 W
0.000 0.500 0.000 N
0.000 0.500 0.500 N
0.074 0.926 0.250 N
0.418 0.582 0.250 N
0.500 0.000 0.000 N
0.500 0.000 0.500 N
0.582 0.418 0.750 N
0.926 0.074 0.750 N
```

=====

# 2
The following is a PBE calculation of a relaxed TbPm2Ho crystal, from the Alexandria database.

The excess energy over the best structure of this formula in the dataset is 2.61 kcal/mol of atoms. As for the formation energy: 0.1261 eV per atom.

Structure (POSCAR):
```
TbPm2Ho
1.0
8.095 0.000 0.000
0.000 8.095 0.000
0.000 0.000 8.095
Tb Pm Ho
4 8 4
direct
0.000 0.000 0.000 Tb
0.000 0.500 0.500 Tb
0.500 0.000 0.500 Tb
0.500 0.500 0.000 Tb
0.250 0.250 0.250 Pm
0.250 0.250 0.750 Pm
0.250 0.750 0.250 Pm
0.250 0.750 0.750 Pm
0.750 0.250 0.250 Pm
0.750 0.250 0.750 Pm
0.750 0.750 0.250 Pm
0.750 0.750 0.750 Pm
0.000 0.000 0.500 Ho
0.000 0.500 0.000 Ho
0.500 0.000 0.000 Ho
0.500 0.500 0.500 Ho
```

=====

no.,DOS(E_F) (states/eV/cell)
1,8.70
2,34.18